Run 1
First-principles (GGA+U) data for a relaxed structure of MgCr2O5, as listed in the Alexandria database.

## Properties
- calculated density (g/cm3) = 3.3
- magnetic moment (μB per cell) = 8.000

Cell: 5.387 5.387 11.350 Å, 90.00 90.00 140.31°
Positions (direct):
Cr1 0.787 0.213 0.902
Cr2 0.213 0.787 0.402
Cr3 0.213 0.787 0.098
Cr4 0.787 0.213 0.598
Mg1 0.099 0.901 0.750
Mg2 0.901 0.099 0.250
O1 0.949 0.051 0.865
O2 0.694 0.306 0.750
O3 0.775 0.225 0.077
O4 0.225 0.775 0.577
O5 0.306 0.694 0.250
O6 0.051 0.949 0.135
O7 0.051 0.949 0.365
O8 0.949 0.051 0.635
O9 0.225 0.775 0.923
O10 0.775 0.225 0.423

Run 2
First-principles (GGA+U) data for a relaxed structure of MgCr2O5, as listed in the Alexandria database.

## Properties
- calculated density (g/cm3) = 3.6
- magnetic moment (μB per cell) = 8.000

Cell: 3.392 4.887 11.716 Å, 90.00 90.00 90.00°
Positions (direct):
O1 0.500 0.102 0.398
O2 0.500 0.616 0.500
O3 0.000 0.898 0.102
O4 0.500 0.407 0.821
O5 0.000 0.898 0.898
O6 0.500 0.102 0.602
O7 0.000 0.384 0.000
O8 0.500 0.407 0.179
O9 0.000 0.593 0.321
O10 0.000 0.593 0.679
Mg1 0.500 0.106 0.000
Mg2 0.000 0.894 0.500
Cr1 0.000 0.559 0.147
Cr2 0.500 0.441 0.353
Cr3 0.000 0.559 0.853
Cr4 0.500 0.441 0.647

Which of them is the most stable? Correct choice: run 1.

Run 1
First-principles (GGA+U) data for a relaxed structure of Mg3CrO, as listed in the Alexandria database.

## Properties
- calculated density (g/cm3) = 2.9
- magnetic moment (μB per cell) = 2.006

Cell: 4.315 4.315 4.315 Å, 90.00 90.00 90.00°
Positions (direct):
Mg1 0.000 0.000 0.500
Mg2 0.000 0.500 0.000
Mg3 0.500 0.000 0.000
O1 0.000 0.000 0.000
Cr1 0.500 0.500 0.500

Run 2
First-principles (GGA+U) data for a relaxed structure of Mg3CrO, as listed in the Alexandria database.

## Properties
- calculated density (g/cm3) = 1.6
- magnetic moment (μB per cell) = 6.249

Cell: 5.228 5.228 5.228 Å, 90.00 90.00 90.00°
Positions (direct):
Mg1 0.000 0.500 0.000
Mg2 0.000 0.000 0.500
Mg3 0.500 0.000 0.000
Cr1 0.000 0.000 0.000
O1 0.500 0.500 0.500

Which of them is the most stable? Correct choice: run 1.

Run 1
First-principles (GGA+U) data for a relaxed structure of MgCr4O8, as listed in the Alexandria database.

## Properties
- calculated density (g/cm3) = 4.0
- magnetic moment (μB per cell) = 10.000

Cell: 6.015 6.015 6.015 Å, 58.78 58.78 58.78°
Positions (direct):
O1 0.725 0.243 0.243
O2 0.729 0.729 0.729
O3 0.757 0.757 0.275
O4 0.243 0.243 0.725
O5 0.271 0.271 0.271
O6 0.757 0.275 0.757
O7 0.243 0.725 0.243
O8 0.275 0.757 0.757
Cr1 0.000 0.000 0.000
Cr2 0.500 0.000 0.500
Cr3 0.500 0.500 0.000
Cr4 0.000 0.500 0.500
Mg1 0.500 0.500 0.500

Run 2
First-principles (GGA+U) data for a relaxed structure of MgCr4O8, as listed in the Alexandria database.

## Properties
- calculated density (g/cm3) = 4.0
- magnetic moment (μB per cell) = 10.000

Cell: 7.283 7.283 9.372 Å, 50.16 50.16 23.61°
Positions (direct):
O1 0.142 0.142 0.412
O2 0.857 0.857 0.617
O3 0.834 0.834 0.351
O4 0.785 0.785 0.099
O5 0.457 0.457 0.755
O6 0.167 0.167 0.661
O7 0.533 0.533 0.285
O8 0.222 0.222 0.950
Cr1 0.635 0.635 0.564
Cr2 0.843 0.843 0.835
Cr3 0.140 0.140 0.208
Cr4 0.348 0.348 0.497
Mg1 0.334 0.334 0.198

Which of them is the most stable? Correct choice: run 2.

Run 1
First-principles (GGA+U) data for a relaxed structure of Mg3CrO4, as listed in the Alexandria database.

## Properties
- calculated density (g/cm3) = 3.9
- magnetic moment (μB per cell) = 4.000

Cell: 4.310 4.310 4.310 Å, 90.00 90.00 90.00°
Positions (direct):
Cr1 0.000 0.000 0.000
Mg1 0.500 0.500 0.000
Mg2 0.000 0.500 0.500
Mg3 0.500 0.000 0.500
O1 0.000 0.500 0.000
O2 0.500 0.500 0.500
O3 0.000 0.000 0.500
O4 0.500 0.000 0.000

Run 2
First-principles (GGA+U) data for a relaxed structure of Mg3CrO4, as listed in the Alexandria database.

## Properties
- calculated density (g/cm3) = 3.9
- magnetic moment (μB per cell) = 4.000

Cell: 3.083 5.227 5.227 Å, 107.12 90.00 90.00°
Positions (direct):
O1 0.500 0.753 0.247
O2 0.500 0.247 0.753
O3 0.000 0.268 0.268
O4 0.000 0.732 0.732
Mg1 0.500 0.500 0.500
Mg2 0.000 0.500 0.000
Mg3 0.000 0.000 0.500
Cr1 0.500 0.000 0.000

Which of them is the most stable? Correct choice: run 2.